HfNbFeCuW | Alexandria via LeMat-Bulk | PBE | optimized geometry; VASP energy = -8.992 eV/atom; distance to the lowest polymorph of the same formula = 17.8 kJ/mol of formula units
1.0
10.023 0.000 0.000
0.000 3.329 0.000
-3.469 0.000 4.868
Hf Nb Fe Cu W
2 2 2 2 2
direct
0.000 0.000 0.000 Hf
0.500 0.500 0.000 Hf
0.424 0.000 0.433 Nb
0.924 0.500 0.433 Nb
0.217 0.500 0.398 Fe
0.717 0.000 0.398 Fe
0.218 0.500 0.999 Cu
0.718 0.000 0.999 Cu
0.201 0.000 0.663 W
0.701 0.500 0.663 W